# FeSiC3

A relaxed FeSiC3 crystal (PBE, Alexandria).

Values from the calculation:
The space-group type is No. 8. For the energy above the most stable polymorph in this dataset, the calculation gives 0.10 eV/f.u. The total moment comes out at 1.1 Bohr magnetons per cell. The uncorrected formation energy comes out at 279 kJ/mol of formula units.

Unit cell a=5.7430 b=2.9743 c=6.5464 alpha=90.00 beta=121.41 gamma=90.00
Closest atoms and distances in Å follow each position.
Atoms (fractional coordinates):
1 C 0.3929 0.5000 0.3298  1 C 1.44
2 C 0.8806 0.5000 0.2529  1 C 1.44
3 C 0.3929 0.0000 0.8298  1 C 1.44
4 C 0.0984 0.0000 0.7059  2 C 1.44
5 C 0.0984 0.5000 0.2059  2 C 1.44
6 C 0.8806 0.0000 0.7529  1 C 1.44
7 Si 0.6593 0.0000 0.1593  3 C 1.84-1.89
8 Si 0.6593 0.5000 0.6593  3 C 1.84-1.89
9 Fe 0.2276 0.5000 0.5889  6 C 1.99-2.21
10 Fe 0.2276 0.0000 0.0889  6 C 1.99-2.21


# FeSiC

A relaxed FeSiC crystal (PBE, Alexandria).

Values from the calculation:
The space-group type is No. 160. For the energy above the most stable polymorph in this dataset, the calculation gives 0.00 eV/f.u. The total moment comes out at 0.0 Bohr magnetons per cell. The uncorrected formation energy comes out at 66 kJ/mol of formula units.

Unit cell a=2.7608 b=2.7608 c=12.6892 alpha=90.00 beta=90.00 gamma=120.00
Closest atoms and distances in Å follow each position.
Atoms (fractional coordinates):
1 Fe 0.3333 0.6667 0.8685  3 C 1.98
2 Fe 0.6667 0.3333 0.5351  3 C 1.98
3 Fe 0.0000 0.0000 0.2018  3 C 1.98
4 C 0.3333 0.6667 0.2938  3 Fe 1.98, 3 Si 2.01
5 C 0.0000 0.0000 0.6271  3 Fe 1.98, 3 Si 2.01
6 C 0.6667 0.3333 0.9604  3 Fe 1.98, 3 Si 2.01
7 Si 0.3333 0.6667 0.0571  3 C 2.01
8 Si 0.0000 0.0000 0.3904  3 C 2.01
9 Si 0.6667 0.3333 0.7238  3 C 2.01


# FeSiC3

A relaxed FeSiC3 crystal (PBE, Alexandria).

Values from the calculation:
The space-group type is No. 8. For the energy above the most stable polymorph in this dataset, the calculation gives 1.00 eV/f.u. The total moment comes out at 0.0 Bohr magnetons per cell. The uncorrected formation energy comes out at 366 kJ/mol of formula units.

Unit cell a=4.6429 b=2.8178 c=7.0380 alpha=90.00 beta=109.25 gamma=90.00
Closest atoms and distances in Å follow each position.
Atoms (fractional coordinates):
1 C 0.8996 0.5000 0.6286  1 C 1.46
2 C 0.5985 0.0000 0.1508  2 C 1.46-1.53
3 C 0.5985 0.5000 0.6508  2 C 1.46-1.53
4 C 0.3143 0.5000 0.4635  1 C 1.53
5 C 0.3143 0.0000 0.9635  1 C 1.53
6 C 0.8996 0.0000 0.1286  1 C 1.46
7 Si 0.3817 0.5000 0.2223  3 C 1.82-1.89
8 Si 0.3817 0.0000 0.7223  3 C 1.82-1.89
9 Fe 0.9910 0.5000 0.9420  6 C 2.03-2.25, 1 Si 2.20
10 Fe 0.9910 0.0000 0.4420  6 C 2.03-2.25, 1 Si 2.20


> Among the records above, which one has the lowest energy above the most stable polymorph in this dataset?

FeSiC


> Number 2 is which compound?

FeSiC


> What is the formula in the second record?

FeSiC


Copy entry 2 word for word.
# FeSiC

A relaxed FeSiC crystal (PBE, Alexandria).

Values from the calculation:
The space-group type is No. 160. For the energy above the most stable polymorph in this dataset, the calculation gives 0.00 eV/f.u. The total moment comes out at 0.0 Bohr magnetons per cell. The uncorrected formation energy comes out at 66 kJ/mol of formula units.

Unit cell a=2.7608 b=2.7608 c=12.6892 alpha=90.00 beta=90.00 gamma=120.00
Closest atoms and distances in Å follow each position.
Atoms (fractional coordinates):
1 Fe 0.3333 0.6667 0.8685  3 C 1.98
2 Fe 0.6667 0.3333 0.5351  3 C 1.98
3 Fe 0.0000 0.0000 0.2018  3 C 1.98
4 C 0.3333 0.6667 0.2938  3 Fe 1.98, 3 Si 2.01
5 C 0.0000 0.0000 0.6271  3 Fe 1.98, 3 Si 2.01
6 C 0.6667 0.3333 0.9604  3 Fe 1.98, 3 Si 2.01
7 Si 0.3333 0.6667 0.0571  3 C 2.01
8 Si 0.0000 0.0000 0.3904  3 C 2.01
9 Si 0.6667 0.3333 0.7238  3 C 2.01